Entry 1:
The following is a DFT calculation (GGA-PBE) of crystalline TmBr at its relaxed geometry.

## Properties
E_tot (eV per atom): -4.034
V (Å³/cell): 49.06

The structure in POSCAR format:
```
TmBr
1.0
3.534 0.000 0.000
-1.767 3.061 0.000
0.000 0.000 4.536
Br Tm
1 1
direct
0.667 0.333 0.750
0.333 0.667 0.250
```



Entry 2:
The following is a DFT calculation (GGA-PBE) of crystalline Sc2TcMo2 at its relaxed geometry.

## Properties
DFT formation energy (eV/atom): 0.8977
E_tot (eV per atom): -8.045
V (Å³/cell): 86.28

The structure in POSCAR format:
```
Sc2TcMo2
1.0
-5.082 4.203 0.889
-3.071 4.310 -4.034
2.373 -6.161 0.835
Mo Sc Tc
2 2 1
direct
0.250 0.750 0.500
0.750 0.250 0.500
0.406 0.406 0.000
0.594 0.594 0.000
0.000 0.000 0.000
```



Entry 3:
The following is a DFT calculation (GGA-PBE) of crystalline LiCdIrW at its relaxed geometry.

## Properties
E_tot (eV per atom): -5.986
V (Å³/cell): 61.76
Energy relative to the lowest polymorph listed for this composition (kJ/mol of formula units): 43

The structure in POSCAR format:
```
LiCdIrW
1.0
0.000 3.137 3.137
3.137 0.000 3.137
3.137 3.137 0.000
Li W Cd Ir
1 1 1 1
direct
0.750 0.750 0.750
0.250 0.250 0.250
0.500 0.500 0.500
0.000 0.000 0.000
```



Entry 4:
The following is a DFT calculation (GGA-PBE) of crystalline KNdB at its relaxed geometry.

## Properties
E_tot (eV per atom): -3.282
V (Å³/cell): 79.02
Energy relative to the lowest polymorph listed for this composition (kJ/mol of formula units): 0

The structure in POSCAR format:
```
KNdB
1.0
-2.542 -0.180 4.087
-2.439 3.877 1.492
-4.814 0.024 -0.155
Nd B K
1 1 1
direct
0.250 0.250 0.250
0.000 0.000 0.000
0.750 0.750 0.750
```



Entry 5:
The following is a DFT calculation (GGA-PBE) of crystalline AcDyHo3 at its relaxed geometry.

## Properties
DFT formation energy (eV/atom): 1.0115
E_tot (eV per atom): -3.476
V (Å³/cell): 384.67

The structure in POSCAR format:
```
AcDyHo3
1.0
-3.971 3.971 6.098
3.971 -3.971 6.098
3.971 3.971 -6.098
Ac Dy Ho
2 2 6
direct
0.500 0.500 0.000
0.000 0.000 0.000
0.250 0.750 0.500
0.750 0.250 0.500
0.846 0.346 0.192
0.346 0.154 0.500
0.654 0.846 0.500
0.750 0.750 0.000
0.250 0.250 0.000
0.154 0.654 0.808
```



Entry 6:
The following is a DFT calculation (GGA-PBE) of crystalline BaZr3 at its relaxed geometry.

## Properties
E_tot (eV per atom): -6.365
V (Å³/cell): 226.38
Energy relative to the lowest polymorph listed for this composition (kJ/mol of formula units): 24

The structure in POSCAR format:
```
BaZr3
1.0
-4.839 4.626 -1.847
0.295 -6.171 -3.172
-3.383 -2.062 3.698
Zr Ba
6 2
direct
0.815 0.185 0.500
0.518 0.482 0.000
0.815 0.631 0.500
0.369 0.185 0.500
0.964 0.482 0.000
0.518 0.036 0.000
0.000 0.000 0.000
0.333 0.667 0.500
```



Entry 7:
The following is a DFT calculation (GGA-PBE) of crystalline NiBi10Te10 at its relaxed geometry.

## Properties
E_tot (eV per atom): -3.738
V (Å³/cell): 1467.80

The structure in POSCAR format:
```
NiBi10Te10
1.0
8.854 0.000 0.000
0.000 12.166 0.000
0.000 0.000 13.627
Bi Te Ni
20 20 2
direct
0.294 0.371 0.915
0.706 0.629 0.085
0.706 0.871 0.585
0.753 0.500 0.500
0.247 0.000 0.000
0.000 0.702 0.952
0.294 0.129 0.415
0.000 0.798 0.452
0.000 0.298 0.048
0.294 0.871 0.585
0.706 0.371 0.915
0.753 0.000 0.000
0.706 0.129 0.415
0.500 0.149 0.653
0.294 0.629 0.085
0.500 0.649 0.847
0.247 0.500 0.500
0.500 0.351 0.153
0.500 0.851 0.347
0.000 0.202 0.548
0.745 0.821 0.826
0.745 0.321 0.674
0.000 0.619 0.620
0.255 0.821 0.826
0.745 0.679 0.326
0.000 0.514 0.166
0.000 0.986 0.666
0.500 0.853 0.111
0.255 0.679 0.326
0.255 0.179 0.174
0.000 0.486 0.834
0.745 0.179 0.174
0.000 0.119 0.880
0.255 0.321 0.674
0.000 0.014 0.334
0.000 0.381 0.380
0.500 0.147 0.889
0.000 0.881 0.120
0.500 0.647 0.611
0.500 0.353 0.389
0.500 0.000 0.500
0.500 0.500 0.000
```



Entry 8:
The following is a DFT calculation (GGA-PBE) of crystalline ZnO at its relaxed geometry.

## Properties
E_tot (eV per atom): -4.320
V (Å³/cell): 40.18

The structure in POSCAR format:
```
ZnO
1.0
-0.416 0.745 2.881
-1.835 -1.978 -1.321
3.101 -3.839 1.441
Zn O
2 2
direct
0.000 0.000 0.567
0.000 0.000 0.067
0.333 0.666 0.320
0.667 0.334 0.820
```



Entry 9:
The following is a DFT calculation (GGA-PBE) of crystalline Sn2IrOs at its relaxed geometry.

## Properties
E_tot (eV per atom): -6.353
V (Å³/cell): 73.12

The structure in POSCAR format:
```
Sn2IrOs
1.0
-3.858 -1.572 2.163
-4.005 2.432 -0.282
-3.588 -1.672 -2.522
Sn Os Ir
2 1 1
direct
0.000 0.000 0.000
0.750 0.750 0.750
0.500 0.500 0.500
0.250 0.250 0.250
```



Entry 10:
The following is a DFT calculation (GGA-PBE) of crystalline MgNbAlCo at its relaxed geometry.

## Properties
E_tot (eV per atom): -5.462
V (Å³/cell): 61.18
Energy relative to the lowest polymorph listed for this composition (kJ/mol of formula units): 67

The structure in POSCAR format:
```
MgNbAlCo
1.0
0.933 -3.999 -1.644
-1.945 -1.366 -3.730
2.363 -0.365 -3.721
Nb Al Mg Co
1 1 1 1
direct
0.250 0.250 0.250
0.000 0.000 0.000
0.500 0.500 0.500
0.750 0.750 0.750
```



Entry 11:
The following is a DFT calculation (GGA-PBE) of crystalline Hf4HgPbC2 at its relaxed geometry.

## Properties
E_tot (eV per atom): -8.419
V (Å³/cell): 142.44

The structure in POSCAR format:
```
Hf4HgPbC2
1.0
-1.340 0.655 2.990
-1.096 -2.601 -1.788
10.067 -8.643 6.402
Pb Hf C Hg
1 4 2 1
direct
0.000 0.000 0.500
0.000 0.000 0.165
0.667 0.333 0.669
0.667 0.333 0.331
0.000 0.000 0.835
0.333 0.667 0.248
0.333 0.667 0.752
0.667 0.333 0.000
```



Entry 12:
The following is a DFT calculation (GGA-PBE) of crystalline Al13Fe3 at its relaxed geometry.

## Properties
E_tot (eV per atom): -4.849
V (Å³/cell): 467.69

The structure in POSCAR format:
```
Al13Fe3
1.0
7.257 4.190 2.564
-7.257 4.190 2.564
0.000 -8.379 2.564
Fe Al
6 26
direct
0.991 0.338 0.168
0.338 0.168 0.991
0.168 0.991 0.338
0.668 0.838 0.491
0.838 0.491 0.668
0.491 0.668 0.838
0.307 0.506 0.195
0.796 0.161 0.518
0.195 0.307 0.506
0.650 0.532 0.311
0.296 0.018 0.661
0.661 0.296 0.018
0.416 0.912 0.419
0.532 0.311 0.650
0.412 0.916 0.919
0.419 0.416 0.912
0.143 0.143 0.143
0.518 0.796 0.161
0.695 0.006 0.807
0.161 0.518 0.796
0.150 0.811 0.032
0.916 0.919 0.412
0.807 0.695 0.006
0.643 0.643 0.643
0.919 0.412 0.916
0.506 0.195 0.307
0.018 0.661 0.296
0.912 0.419 0.416
0.311 0.650 0.532
0.032 0.150 0.811
0.811 0.032 0.150
0.006 0.807 0.695
```



Entry 13:
The following is a DFT calculation (GGA-PBE) of crystalline NdAl3Ni2 at its relaxed geometry.

## Properties
E_tot (eV per atom): -5.146
V (Å³/cell): 201.41

The structure in POSCAR format:
```
NdAl3Ni2
1.0
5.030 -3.907 0.000
5.030 3.907 0.000
0.000 0.000 5.124
Al Nd Ni
6 2 4
direct
0.558 0.442 0.750
0.416 0.974 0.250
0.584 0.026 0.750
0.974 0.416 0.750
0.026 0.584 0.250
0.442 0.558 0.250
0.844 0.156 0.250
0.156 0.844 0.750
0.299 0.299 0.000
0.701 0.701 0.500
0.701 0.701 0.000
0.299 0.299 0.500
```



Entry 14:
The following is a DFT calculation (GGA-PBE) of crystalline AlNiB4 at its relaxed geometry.

## Properties
E_tot (eV per atom): -6.009
V (Å³/cell): 49.16
Energy relative to the lowest polymorph listed for this composition (kJ/mol of formula units): 5

The structure in POSCAR format:
```
AlNiB4
1.0
-1.499 2.571 3.190
1.499 -2.571 3.190
1.499 2.571 -3.190
B Ni Al
4 1 1
direct
0.576 0.246 0.330
0.424 0.754 0.670
0.085 0.754 0.330
0.915 0.246 0.670
0.000 0.000 0.000
0.500 0.500 0.000
```



Entry 15:
The following is a DFT calculation (GGA-PBE) of crystalline MgCuPbW at its relaxed geometry.

## Properties
E_tot (eV per atom): -4.622
V (Å³/cell): 74.23
Energy relative to the lowest polymorph listed for this composition (kJ/mol of formula units): 0

The structure in POSCAR format:
```
MgCuPbW
1.0
-0.090 2.021 4.262
1.334 4.496 0.507
-3.210 3.318 0.970
Cu Mg W Pb
1 1 1 1
direct
0.750 0.750 0.750
0.500 0.500 0.500
0.250 0.250 0.250
0.000 0.000 0.000
```



Entry 16:
The following is a DFT calculation (GGA-PBE) of crystalline TbBeFe at its relaxed geometry.

## Properties
E_tot (eV per atom): -5.081
V (Å³/cell): 52.88
Energy relative to the lowest polymorph listed for this composition (kJ/mol of formula units): 0

The structure in POSCAR format:
```
TbBeFe
1.0
1.558 -3.698 -1.285
-2.555 -2.885 -1.702
0.246 -0.866 -4.116
Fe Be Tb
1 1 1
direct
0.250 0.250 0.250
0.000 0.000 0.000
0.750 0.750 0.750
```



Entry 17:
The following is a DFT calculation (GGA-PBE) of crystalline TcPbNO at its relaxed geometry.

## Properties
E_tot (eV per atom): -7.006
V (Å³/cell): 245.07
Energy relative to the lowest polymorph listed for this composition (kJ/mol of formula units): 25

The structure in POSCAR format:
```
TcPbNO
1.0
5.095 0.000 0.000
0.000 6.311 0.000
0.000 0.000 7.623
N Pb Tc O
4 4 4 4
direct
0.993 0.531 0.145
0.493 0.469 0.855
0.993 0.031 0.855
0.493 0.969 0.145
0.496 0.433 0.183
0.496 0.933 0.817
0.996 0.567 0.817
0.996 0.067 0.183
0.016 0.654 0.350
0.016 0.154 0.650
0.516 0.346 0.650
0.516 0.846 0.350
0.198 0.391 0.485
0.198 0.891 0.515
0.698 0.109 0.485
0.698 0.609 0.515
```



Entry 18:
The following is a DFT calculation (GGA-PBE) of crystalline GdHoZn2Sn2 at its relaxed geometry.

## Properties
E_tot (eV per atom): -3.883
V (Å³/cell): 278.98
Energy relative to the lowest polymorph listed for this composition (kJ/mol of formula units): 4

The structure in POSCAR format:
```
GdHoZn2Sn2
1.0
4.512 0.000 0.000
-2.256 3.907 0.000
0.000 0.000 15.824
Ho Sn Zn Gd
2 4 4 2
direct
0.000 0.000 0.500
0.000 0.000 0.000
0.667 0.333 0.112
0.333 0.667 0.612
0.333 0.667 0.888
0.667 0.333 0.388
0.333 0.667 0.159
0.667 0.333 0.659
0.333 0.667 0.341
0.667 0.333 0.841
0.000 0.000 0.750
0.000 0.000 0.250
```



Entry 19:
The following is a DFT calculation (GGA-PBE) of crystalline PrSmGa2I2 at its relaxed geometry.

## Properties
E_tot (eV per atom): -4.184
V (Å³/cell): 199.47

The structure in POSCAR format:
```
PrSmGa2I2
1.0
-3.050 2.854 -0.994
0.644 -1.114 4.096
8.283 9.276 1.219
I Sm Pr Ga
2 1 1 2
direct
0.333 0.667 0.165
0.667 0.333 0.829
0.000 0.000 0.667
0.000 0.000 0.333
0.667 0.333 0.477
0.333 0.667 0.528
```



Entry 20:
The following is a DFT calculation (GGA-PBE) of crystalline KScNb at its relaxed geometry.

## Properties
E_tot (eV per atom): -3.656
V (Å³/cell): 95.27
Energy relative to the lowest polymorph listed for this composition (kJ/mol of formula units): 142

The structure in POSCAR format:
```
KScNb
1.0
-4.806 -1.023 1.461
-3.948 1.931 -2.640
-2.940 -3.092 -2.842
K Nb Sc
1 1 1
direct
0.000 0.000 0.000
0.250 0.250 0.250
0.750 0.750 0.750
```



Entry 21:
The following is a DFT calculation (GGA-PBE) of crystalline Re11Ni2 at its relaxed geometry.

## Properties
DFT formation energy (eV/atom): 0.2965
E_tot (eV per atom): -11.072
V (Å³/cell): 198.17
Energy relative to the lowest polymorph listed for this composition (kJ/mol of formula units): 68

The structure in POSCAR format:
```
Re11Ni2
1.0
-2.095 3.532 8.387
0.022 7.339 5.773
-4.868 6.169 5.045
Re Ni
11 2
direct
0.165 0.165 0.165
0.909 0.909 0.417
0.000 0.000 0.000
0.091 0.091 0.583
0.547 0.547 0.547
0.909 0.417 0.909
0.835 0.835 0.835
0.091 0.583 0.091
0.453 0.453 0.453
0.417 0.909 0.909
0.583 0.091 0.091
0.653 0.653 0.653
0.347 0.347 0.347
```



Entry 22:
The following is a DFT calculation (GGA-PBE) of crystalline Sr2Fe at its relaxed geometry.

## Properties
E_tot (eV per atom): -3.249
V (Å³/cell): 109.89

The structure in POSCAR format:
```
Sr2Fe
1.0
0.000 3.802 3.802
3.802 0.000 3.802
3.802 3.802 0.000
Fe Sr
1 2
direct
0.000 0.000 0.000
0.250 0.250 0.250
0.750 0.750 0.750
```



Entry 23:
The following is a DFT calculation (GGA-PBE) of crystalline BaNdCuTe2S at its relaxed geometry.

## Properties
E_tot (eV per atom): -4.853
V (Å³/cell): 350.77

The structure in POSCAR format:
```
BaNdCuTe2S
1.0
3.410 5.951 -3.673
-3.449 -2.648 6.452
9.659 -3.142 3.874
Cu Ba Nd Te S
2 2 2 4 2
direct
0.525 0.475 0.250
0.475 0.525 0.750
0.281 0.719 0.250
0.719 0.281 0.750
0.000 0.000 0.500
0.000 0.000 0.000
0.355 0.645 0.932
0.645 0.355 0.068
0.355 0.645 0.568
0.645 0.355 0.432
0.059 0.941 0.750
0.941 0.059 0.250
```